Material: SmCoO3
Method: DFT, PBE with a Hubbard U
State: relaxed

Computed properties:
electronic total energy: -142.97 eV/cell
D(E_F): 2.13 states/eV/cell
SG: No. 62
magnetization: 0.40 μB per atom

```
SmCoO3
1.0
-3.559 1.853 3.494
-1.620 -5.244 1.131
5.237 -0.419 5.556
Sm Co O
4 4 12
Direct
0.516 0.561 0.250 Sm
0.984 0.061 0.250 Sm
0.484 0.439 0.750 Sm
0.016 0.939 0.750 Sm
0.500 0.000 0.000 Co
0.000 0.500 0.500 Co
0.500 0.000 0.500 Co
0.000 0.500 0.000 Co
0.413 0.977 0.250 O
0.087 0.477 0.250 O
0.587 0.023 0.750 O
0.913 0.523 0.750 O
0.795 0.798 0.046 O
0.705 0.298 0.454 O
0.205 0.202 0.546 O
0.295 0.702 0.954 O
0.205 0.202 0.954 O
0.295 0.702 0.546 O
0.795 0.798 0.454 O
0.705 0.298 0.046 O
```